Compound: MnGaGe2O6
Source: Alexandria
Functional: PBE+U
Structure: optimized geometry

Results
Total moment: 9.91 μB per cell
E_tot: -129.85 eV for the cell shown

Unit cell a=5.412 b=6.737 c=6.737 alpha=87.48 beta=82.02 gamma=82.02
Sites, in units of the cell vectors:
Mn1 0.750 0.092 0.908
Ge1 0.211 0.785 0.598
O1 0.594 0.154 0.628
O2 0.145 0.984 0.781
Ga1 0.750 0.730 0.270
Ga2 0.250 0.270 0.730
O3 0.645 0.781 0.984
Ge2 0.289 0.402 0.215
O4 0.615 0.439 0.283
Ge3 0.789 0.215 0.402
O5 0.094 0.628 0.154
Mn2 0.250 0.908 0.092
O6 0.355 0.219 0.016
O7 0.385 0.561 0.717
O8 0.115 0.283 0.439
O9 0.855 0.016 0.219
O10 0.906 0.372 0.846
O11 0.885 0.717 0.561
Ge4 0.711 0.598 0.785
O12 0.406 0.846 0.372